1.
Entry from OQMD: an optimized crystal structure of Li4NbAlO6 (GGA-PBE).

Volume in Å³ per cell: 107
DFT total energy in eV/f.u.: -80.59

abc: 5.0736 5.0736 5.0968
angles: 99.64 99.64 119.95
Fractional positions:
Al 0.8329 0.1671 0.0000
Li 0.5008 0.4992 0.0000
Li 0.9887 0.0113 0.5000
Li 0.6615 0.3385 0.5000
Li 0.3458 0.6542 0.5000
Nb 0.1674 0.8326 0.0000
O 0.5889 0.9379 0.2265
O 0.9273 0.5646 0.2286
O 0.2156 0.2265 0.2315
O 0.7735 0.7844 0.7686
O 0.4354 0.0727 0.7714
O 0.0621 0.4111 0.7735

***

2.
Entry from OQMD: an optimized crystal structure of Li2Nb2Al2OsPd (GGA-PBE).

Volume in Å³ per cell: 118
DFT total energy in eV/f.u.: -51.27

abc: 4.3716 4.3716 6.1941
angles: 90.00 90.00 90.00
Fractional positions:
Al 0.5000 0.0000 0.2464
Al 0.0000 0.5000 0.7536
Li 0.0000 0.0000 0.0000
Li 0.5000 0.5000 0.5000
Nb 0.0000 0.5000 0.2454
Nb 0.5000 0.0000 0.7546
Os 0.5000 0.5000 0.0000
Pd 0.0000 0.0000 0.5000

***

3.
Entry from OQMD: an optimized crystal structure of Li2Nb2Al2OsPt (GGA-PBE).

Volume in Å³ per cell: 118
DFT total energy in eV/f.u.: -53.22

abc: 4.3733 4.3733 6.1926
angles: 90.00 90.00 90.00
Fractional positions:
Al 0.0000 0.5000 0.2458
Al 0.5000 0.0000 0.7542
Li 0.5000 0.5000 0.0000
Li 0.0000 0.0000 0.5000
Nb 0.5000 0.0000 0.2456
Nb 0.0000 0.5000 0.7544
Os 0.0000 0.0000 0.0000
Pt 0.5000 0.5000 0.5000

***

4.
Entry from OQMD: an optimized crystal structure of Li2NbAl2ReOs2 (GGA-PBE).

Volume in Å³ per cell: 113
DFT total energy in eV/f.u.: -59.04

abc: 4.2930 4.2930 6.1180
angles: 90.00 90.00 90.00
Fractional positions:
Al 0.5000 0.5000 0.0000
Al 0.0000 0.0000 0.5000
Li 0.5000 0.0000 0.2556
Li 0.0000 0.5000 0.7444
Nb 0.0000 0.0000 0.0000
Os 0.0000 0.5000 0.2623
Os 0.5000 0.0000 0.7377
Re 0.5000 0.5000 0.5000

***

5.
Entry from OQMD: an optimized crystal structure of Li2TaNbAl2Os2 (GGA-PBE).

Volume in Å³ per cell: 117
DFT total energy in eV/f.u.: -58.70

abc: 4.3630 4.3630 6.1690
angles: 90.00 90.00 90.00
Fractional positions:
Al 0.5000 0.5000 0.0000
Al 0.0000 0.0000 0.5000
Li 0.5000 0.0000 0.2498
Li 0.0000 0.5000 0.7502
Nb 0.0000 0.0000 0.0000
Os 0.0000 0.5000 0.2511
Os 0.5000 0.0000 0.7489
Ta 0.5000 0.5000 0.5000

***

6.
Entry from OQMD: an optimized crystal structure of Li2NbAl2Os2W (GGA-PBE).

Volume in Å³ per cell: 115
DFT total energy in eV/f.u.: -59.46

abc: 4.3281 4.3281 6.1182
angles: 90.00 90.00 90.00
Fractional positions:
Al 0.5000 0.5000 0.0000
Al 0.0000 0.0000 0.5000
Li 0.5000 0.0000 0.2505
Li 0.0000 0.5000 0.7495
Nb 0.0000 0.0000 0.0000
Os 0.0000 0.5000 0.2597
Os 0.5000 0.0000 0.7403
W 0.5000 0.5000 0.5000

***

7.
Entry from OQMD: an optimized crystal structure of Li2TaNbAl2Pt2 (GGA-PBE).

Volume in Å³ per cell: 122
DFT total energy in eV/f.u.: -49.03

abc: 4.4137 4.4137 6.2514
angles: 90.00 90.00 90.00
Fractional positions:
Al 0.5000 0.5000 0.0000
Al 0.0000 0.0000 0.5000
Li 0.5000 0.0000 0.2483
Li 0.0000 0.5000 0.7517
Nb 0.0000 0.0000 0.0000
Pt 0.0000 0.5000 0.2692
Pt 0.5000 0.0000 0.7308
Ta 0.5000 0.5000 0.5000

***

8.
Entry from OQMD: an optimized crystal structure of LiAlNiOs (GGA-PBE).

Volume in Å³ per cell: 50
DFT total energy in eV/f.u.: -22.32

abc: 4.1255 4.1255 4.1255
angles: 60.00 60.00 60.00
Fractional positions:
Al 0.0000 0.0000 0.0000
Li 0.2500 0.2500 0.2500
Ni 0.7500 0.7500 0.7500
Os 0.5000 0.5000 0.5000

***

9.
Entry from OQMD: an optimized crystal structure of Li4Al2NiPd (GGA-PBE).

Volume in Å³ per cell: 107
DFT total energy in eV/f.u.: -28.95

abc: 4.2203 4.2203 5.9871
angles: 90.00 90.00 90.00
Fractional positions:
Al 0.5000 0.0000 0.2384
Al 0.0000 0.5000 0.7616
Li 0.5000 0.5000 0.0000
Li 0.0000 0.5000 0.2428
Li 0.0000 0.0000 0.5000
Li 0.5000 0.0000 0.7572
Ni 0.0000 0.0000 0.0000
Pd 0.5000 0.5000 0.5000

***

10.
Entry from OQMD: an optimized crystal structure of Li2Al2NiPdPt2 (GGA-PBE).

Volume in Å³ per cell: 105
DFT total energy in eV/f.u.: -40.57

abc: 4.2047 4.2047 5.9335
angles: 90.00 90.00 90.00
Fractional positions:
Al 0.0000 0.5000 0.2583
Al 0.5000 0.0000 0.7417
Li 0.5000 0.0000 0.2541
Li 0.0000 0.5000 0.7459
Ni 0.5000 0.5000 0.5000
Pd 0.0000 0.0000 0.0000
Pt 0.5000 0.5000 0.0000
Pt 0.0000 0.0000 0.5000

***

11.
Entry from OQMD: an optimized crystal structure of Li2Al2Zn2NiPd (GGA-PBE).

Volume in Å³ per cell: 107
DFT total energy in eV/f.u.: -28.23

abc: 4.2038 4.2038 6.0426
angles: 90.00 90.00 90.00
Fractional positions:
Al 0.0000 0.5000 0.2373
Al 0.5000 0.0000 0.7627
Li 0.0000 0.0000 0.0000
Li 0.5000 0.5000 0.5000
Ni 0.5000 0.5000 0.0000
Pd 0.0000 0.0000 0.5000
Zn 0.5000 0.0000 0.2335
Zn 0.0000 0.5000 0.7665

***

12.
Entry from OQMD: an optimized crystal structure of Li4Al2NiPt (GGA-PBE).

Volume in Å³ per cell: 106
DFT total energy in eV/f.u.: -30.50

abc: 4.2158 4.2158 5.9405
angles: 90.00 90.00 90.00
Fractional positions:
Al 0.5000 0.0000 0.2437
Al 0.0000 0.5000 0.7563
Li 0.5000 0.5000 0.0000
Li 0.0000 0.5000 0.2411
Li 0.0000 0.0000 0.5000
Li 0.5000 0.0000 0.7589
Ni 0.0000 0.0000 0.0000
Pt 0.5000 0.5000 0.5000

***

13.
Entry from OQMD: an optimized crystal structure of Li2ScAl2NiPt2 (GGA-PBE).

Volume in Å³ per cell: 115
DFT total energy in eV/f.u.: -40.96

abc: 4.0110 4.0110 7.1274
angles: 90.00 90.00 90.00
Fractional positions:
Al 0.5000 0.0000 0.2115
Al 0.0000 0.5000 0.7885
Li 0.0000 0.5000 0.2249
Li 0.5000 0.0000 0.7751
Ni 0.5000 0.5000 0.0000
Pt 0.0000 0.0000 0.0000
Pt 0.5000 0.5000 0.5000
Sc 0.0000 0.0000 0.5000

***

14.
Entry from OQMD: an optimized crystal structure of Li2Sc2Al2NiPt (GGA-PBE).

Volume in Å³ per cell: 122
DFT total energy in eV/f.u.: -40.87

abc: 4.4170 4.4170 6.2503
angles: 90.00 90.00 90.00
Fractional positions:
Al 0.0000 0.5000 0.2465
Al 0.5000 0.0000 0.7535
Li 0.5000 0.5000 0.0000
Li 0.0000 0.0000 0.5000
Ni 0.0000 0.0000 0.0000
Pt 0.5000 0.5000 0.5000
Sc 0.5000 0.0000 0.2396
Sc 0.0000 0.5000 0.7604

***

15.
Entry from OQMD: an optimized crystal structure of Li2AlSiNi2Pt2 (GGA-PBE).

Volume in Å³ per cell: 98
DFT total energy in eV/f.u.: -41.71

abc: 4.1018 4.1018 5.8198
angles: 90.00 90.00 90.00
Fractional positions:
Al 0.0000 0.0000 0.0000
Li 0.5000 0.5000 0.0000
Li 0.0000 0.0000 0.5000
Ni 0.5000 0.0000 0.2585
Ni 0.0000 0.5000 0.7415
Pt 0.0000 0.5000 0.2582
Pt 0.5000 0.0000 0.7418
Si 0.5000 0.5000 0.5000

***

16.
Entry from OQMD: an optimized crystal structure of Li2Al2Zn2NiPt (GGA-PBE).

Volume in Å³ per cell: 107
DFT total energy in eV/f.u.: -29.66

abc: 4.2102 4.2102 6.0094
angles: 90.00 90.00 90.00
Fractional positions:
Al 0.5000 0.0000 0.2408
Al 0.0000 0.5000 0.7592
Li 0.5000 0.5000 0.0000
Li 0.0000 0.0000 0.5000
Ni 0.0000 0.0000 0.0000
Pt 0.5000 0.5000 0.5000
Zn 0.0000 0.5000 0.2316
Zn 0.5000 0.0000 0.7684

***

17.
Entry from OQMD: an optimized crystal structure of Li2ZrAl2Ni2Pt (GGA-PBE).

Volume in Å³ per cell: 111
DFT total energy in eV/f.u.: -40.36

abc: 4.2908 4.2908 6.0507
angles: 90.00 90.00 90.00
Fractional positions:
Al 0.5000 0.5000 0.0000
Al 0.0000 0.0000 0.5000
Li 0.0000 0.5000 0.2205
Li 0.5000 0.0000 0.7795
Ni 0.5000 0.0000 0.2625
Ni 0.0000 0.5000 0.7375
Pt 0.0000 0.0000 0.0000
Zr 0.5000 0.5000 0.5000

***

18.
Entry from OQMD: an optimized crystal structure of LiScAlNi (GGA-PBE).

Volume in Å³ per cell: 58
Energy above the most stable polymorph in this dataset in eV per atom: 0.000
DFT total energy in eV/f.u.: -19.33

abc: 4.3567 4.3567 4.3567
angles: 60.00 60.00 60.00
Fractional positions:
Al 0.2500 0.2500 0.2500
Li 0.5000 0.5000 0.5000
Ni 0.0000 0.0000 0.0000
Sc 0.7500 0.7500 0.7500

***

19.
Entry from OQMD: an optimized crystal structure of LiScAlNi (GGA-PBE).

Volume in Å³ per cell: 62
Energy above the most stable polymorph in this dataset in eV per atom: 0.249
DFT total energy in eV/f.u.: -18.33

abc: 4.4390 4.4390 4.4390
angles: 60.00 60.00 60.00
Fractional positions:
Al 0.2500 0.2500 0.2500
Li 0.5000 0.5000 0.5000
Ni 0.7500 0.7500 0.7500
Sc 0.0000 0.0000 0.0000

***

20.
Entry from OQMD: an optimized crystal structure of LiScAlNi (GGA-PBE).

Volume in Å³ per cell: 60
Energy above the most stable polymorph in this dataset in eV per atom: 0.201
DFT total energy in eV/f.u.: -18.53

abc: 4.3854 4.3854 4.3854
angles: 60.00 60.00 60.00
Fractional positions:
Al 0.0000 0.0000 0.0000
Li 0.5000 0.5000 0.5000
Ni 0.7500 0.7500 0.7500
Sc 0.2500 0.2500 0.2500

***

21.
Entry from OQMD: an optimized crystal structure of Li2Sc2AlNi2Sn (GGA-PBE).

Volume in Å³ per cell: 122
DFT total energy in eV/f.u.: -39.60

abc: 4.3992 4.3992 6.2803
angles: 90.00 90.00 90.00
Fractional positions:
Al 0.0000 0.0000 0.0000
Li 0.5000 0.0000 0.2398
Li 0.0000 0.5000 0.7602
Ni 0.0000 0.5000 0.2374
Ni 0.5000 0.0000 0.7626
Sc 0.5000 0.5000 0.0000
Sc 0.0000 0.0000 0.5000
Sn 0.5000 0.5000 0.5000

***

22.
Entry from OQMD: an optimized crystal structure of LiAlNiSn (GGA-PBE).

Volume in Å³ per cell: 63
Energy above the most stable polymorph in this dataset in eV per atom: 0.237
DFT total energy in eV/f.u.: -15.40

abc: 4.4676 4.4676 4.4676
angles: 60.00 60.00 60.00
Fractional positions:
Al 0.0000 0.0000 0.0000
Li 0.7500 0.7500 0.7500
Ni 0.5000 0.5000 0.5000
Sn 0.2500 0.2500 0.2500

***

23.
Entry from OQMD: an optimized crystal structure of LiAlNiSn (GGA-PBE).

Volume in Å³ per cell: 59
Energy above the most stable polymorph in this dataset in eV per atom: 0.000
DFT total energy in eV/f.u.: -16.35

abc: 4.3621 4.3621 4.3621
angles: 60.00 60.00 60.00
Fractional positions:
Al 0.5000 0.5000 0.5000
Li 0.7500 0.7500 0.7500
Ni 0.2500 0.2500 0.2500
Sn 0.0000 0.0000 0.0000

***

24.
Entry from OQMD: an optimized crystal structure of LiTaAlNi (GGA-PBE).

Volume in Å³ per cell: 54
Energy above the most stable polymorph in this dataset in eV per atom: 0.000
DFT total energy in eV/f.u.: -23.74

abc: 4.2380 4.2380 4.2380
angles: 60.00 60.00 60.00
Fractional positions:
Al 0.0000 0.0000 0.0000
Li 0.2500 0.2500 0.2500
Ni 0.7500 0.7500 0.7500
Ta 0.5000 0.5000 0.5000

***

25.
Entry from OQMD: an optimized crystal structure of LiTaAlNi (GGA-PBE).

Volume in Å³ per cell: 56
Energy above the most stable polymorph in this dataset in eV per atom: 0.335
DFT total energy in eV/f.u.: -22.40

abc: 4.2883 4.2883 4.2883
angles: 60.00 60.00 60.00
Fractional positions:
Al 0.0000 0.0000 0.0000
Li 0.5000 0.5000 0.5000
Ni 0.7500 0.7500 0.7500
Ta 0.2500 0.2500 0.2500

***

26.
Entry from OQMD: an optimized crystal structure of Li4Al2ZnNi (GGA-PBE).

Volume in Å³ per cell: 110
DFT total energy in eV/f.u.: -23.83

abc: 4.2446 4.2446 6.0788
angles: 90.00 90.00 90.00
Fractional positions:
Al 0.5000 0.0000 0.2254
Al 0.0000 0.5000 0.7746
Li 0.5000 0.5000 0.0000
Li 0.0000 0.5000 0.2435
Li 0.0000 0.0000 0.5000
Li 0.5000 0.0000 0.7565
Ni 0.0000 0.0000 0.0000
Zn 0.5000 0.5000 0.5000